No. 1
CsTaSn GGA-PBE relaxed; volume = 108.7 Å³/cell; total magnetization = 2.09 μB per formula unit; DFT total energy = -3.2565 eV per atom
1.0
0.464 -2.442 4.746
0.281 2.906 4.492
-4.109 0.024 3.437
Cs Sn Ta
1 1 1
Cartesian
0.000 0.000 0.000
-0.841 0.122 3.169
-2.523 0.366 9.506

=====

No. 2
Na3DyHo2Pb3 GGA-PBE relaxed; volume = 244.0 Å³/cell; total magnetization = 0.01 μB per formula unit; DFT total energy = -3.4033 eV per atom
1.0
5.206 0.000 0.000
-2.603 4.509 0.000
0.000 0.000 10.395
Dy Ho Na Pb
1 2 3 3
Cartesian
0.000 0.000 0.000
0.000 0.000 3.474
0.000 0.000 6.921
2.603 1.503 1.891
0.000 3.006 5.197
2.603 1.503 8.504
0.000 3.006 1.659
2.603 1.503 5.197
0.000 3.006 8.735

=====

No. 3
LaHg2Bi GGA-PBE relaxed; volume = 113.6 Å³/cell; total magnetization = 0.00 μB per formula unit; DFT total energy = -2.9297 eV per atom
1.0
4.689 0.000 0.000
0.000 4.689 0.000
0.000 0.000 5.166
Bi Hg La
1 2 1
Cartesian
0.000 0.000 2.583
2.345 0.000 0.000
0.000 2.345 0.000
2.345 2.345 2.583

=====

No. 4
KInPt GGA-PBE relaxed; volume = 85.0 Å³/cell; total magnetization = 0.00 μB per formula unit; DFT total energy = -3.3257 eV per atom
1.0
0.000 3.490 3.490
3.490 0.000 3.490
3.490 3.490 0.000
In K Pt
1 1 1
Cartesian
1.745 1.745 1.745
5.235 5.235 5.235
0.000 0.000 0.000

=====

No. 5
NaNiBi GGA-PBE relaxed; volume = 69.9 Å³/cell; total magnetization = 0.01 μB per formula unit; DFT total energy = -2.9948 eV per atom
1.0
0.000 3.270 3.270
3.270 0.000 3.270
3.270 3.270 0.000
Bi Na Ni
1 1 1
Cartesian
1.635 1.635 1.635
0.000 0.000 0.000
4.904 4.904 4.904

=====

No. 6
BaHgOs GGA-PBE relaxed; volume = 84.4 Å³/cell; total magnetization = 0.04 μB per formula unit; DFT total energy = -3.5804 eV per atom
1.0
0.000 3.482 3.482
3.482 0.000 3.482
3.482 3.482 0.000
Ba Hg Os
1 1 1
Cartesian
1.741 1.741 1.741
5.223 5.223 5.223
0.000 0.000 0.000